Tl2SnHgRu: relaxed, PBE-GGA.

Lattice parameters (Å, degrees): 5.3565 5.3565 5.1052 90.00 90.00 90.00
Closest atoms and distances in Å follow each position.
Space group P4/mmm (No. 123)
Unique sites:
Tl (0.0000, 0.5000, 0.0000)  2 Ru 2.68
Sn (0.0000, 0.0000, 0.5000)  2 Ru 2.55
Hg (0.5000, 0.5000, 0.5000)  8 Tl 3.70, 4 Sn 3.79
Ru (0.0000, 0.0000, 0.0000)  2 Sn 2.55, 4 Tl 2.68

crystal system = tetragonal
uncorrected energy = -3.572 eV/atom
volume = 146 Å³/f.u.
formation enthalpy at 0 K = 0.090 eV/atom
total moment = 0.00 μB per formula unit